No. 1
Here is a geometry-optimized La2BMo structure from the Alexandria database. Energies are from GGA-PBE.

Computed properties:
As for the magnetic moment: 0.0 μB per formula unit. The energy of formation comes out at 0.348 eV per atom.

a = 10.1819 Å, b = 10.1819 Å, c = 4.1946 Å
α = 90.00°, β = 90.00°, γ = 90.00°
Space group I-42d (No. 122)
Symmetry-distinct sites (fractional):
1 La 0.0770 0.2500 0.1250 [8 per cell]
2 B 0.0000 0.0000 0.0000 [4 per cell]
3 Mo 0.0000 0.0000 0.5000 [4 per cell]

No. 2
Here is a geometry-optimized Rb2Sb2Pb3 structure from the Alexandria database. Energies are from GGA-PBE.

Computed properties:
The formation energy (no corrections) is -1.43 eV/f.u. As for the magnetic moment: 0.0 μB per formula unit.

a = 15.0065 Å, b = 4.4818 Å, c = 8.9878 Å
α = 90.00°, β = 114.66°, γ = 90.00°
Space group C2/m (No. 12)
Symmetry-distinct sites (fractional):
1 Rb 0.1293 0.0000 0.2779 [4 per cell]
2 Sb 0.1743 0.0000 0.7315 [4 per cell]
3 Pb 0.0000 0.5000 0.5000 [2 per cell]
4 Pb 0.1159 0.5000 0.9003 [4 per cell]

No. 3
Here is a geometry-optimized DyZn9Sn2 structure from the Alexandria database. Energies are from GGA-PBE.

Computed properties:
As for the magnetic moment: 0.0 μB per formula unit. The energy of formation comes out at -0.077 eV per atom.

a = 5.3476 Å, b = 5.3476 Å, c = 26.7553 Å
α = 90.00°, β = 90.00°, γ = 120.00°
Space group R-3m (No. 166, hexagonal axes)
Symmetry-distinct sites (fractional):
1 Dy 0.0000 0.0000 0.0000 [3 per cell]
2 Zn 0.0000 0.0000 0.3336 [6 per cell]
3 Zn 0.0000 0.0000 0.5000 [3 per cell]
4 Zn 0.0017 0.5008 0.9201 [18 per cell]
5 Sn 0.0000 0.0000 0.1325 [6 per cell]

No. 4
Here is a geometry-optimized Hf2MnInCl structure from the Alexandria database. Energies are from GGA-PBE.

Computed properties:
The formation energy (no corrections) is 1.99 eV/f.u. As for the magnetic moment: 0.0 μB per formula unit.

a = 5.0517 Å, b = 5.0517 Å, c = 4.0958 Å
α = 90.00°, β = 90.00°, γ = 90.00°
Space group P4/mmm (No. 123)
Symmetry-distinct sites (fractional):
1 Hf 0.0000 0.5000 0.0000 [2 per cell]
2 Mn 0.0000 0.0000 0.0000 [1 per cell]
3 In 0.5000 0.5000 0.5000 [1 per cell]
4 Cl 0.0000 0.0000 0.5000 [1 per cell]

No. 5
Here is a geometry-optimized MgCdCl2 structure from the Alexandria database. Energies are from GGA-PBE.

Computed properties:
The formation energy (no corrections) is -3.49 eV/f.u. The calculation puts the offset from the most stable computed form at 392 meV per atom. As for the magnetic moment: 0.0 μB per formula unit.

a = 3.7155 Å, b = 6.3512 Å, c = 9.1300 Å
α = 90.00°, β = 90.00°, γ = 90.00°
Space group Cmm2 (No. 35)
Symmetry-distinct sites (fractional):
1 Mg 0.0000 0.0000 0.0000 [2 per cell]
2 Cd 0.0000 0.5000 0.7408 [2 per cell]
3 Cl 0.0000 0.0000 0.5487 [2 per cell]
4 Cl 0.0000 0.5000 0.1664 [2 per cell]

No. 6
Here is a geometry-optimized Nb2CrOs structure from the Alexandria database. Energies are from GGA-PBE.

Computed properties:
As for the magnetic moment: 0.0 μB per formula unit. The energy of formation comes out at 0.247 eV per atom.

a = 2.9885 Å, b = 2.9885 Å, c = 24.8236 Å
α = 90.00°, β = 90.00°, γ = 120.00°
Space group R-3m (No. 166, hexagonal axes)
Symmetry-distinct sites (fractional):
1 Nb 0.0000 0.0000 0.2458 [6 per cell]
2 Cr 0.0000 0.0000 0.5000 [3 per cell]
3 Os 0.0000 0.0000 0.0000 [3 per cell]

No. 7
Here is a geometry-optimized SrLa2Pr structure from the Alexandria database. Energies are from GGA-PBE.

Computed properties:
The calculation puts the offset from the most stable computed form at 0 meV per atom. As for the magnetic moment: 0.0 μB per formula unit. The energy of formation comes out at 0.070 eV per atom.

a = 3.7967 Å, b = 3.7967 Å, c = 11.1461 Å
α = 90.00°, β = 90.00°, γ = 90.00°
Space group P4/mmm (No. 123)
Symmetry-distinct sites (fractional):
1 Sr 0.0000 0.0000 0.0000 [1 per cell]
2 La 0.5000 0.5000 0.2760 [2 per cell]
3 Pr 0.0000 0.0000 0.5000 [1 per cell]

No. 8
Here is a geometry-optimized CdBRh2Se structure from the Alexandria database. Energies are from GGA-PBE.

Computed properties:
The formation energy (no corrections) is 0.93 eV/f.u. The calculation puts the offset from the most stable computed form at 0 meV per atom. As for the magnetic moment: 0.0 μB per formula unit.

a = 4.1701 Å, b = 4.1701 Å, c = 4.5340 Å
α = 90.00°, β = 90.00°, γ = 90.00°
Space group P4/mmm (No. 123)
Symmetry-distinct sites (fractional):
1 Cd 0.0000 0.0000 0.0000 [1 per cell]
2 B 0.0000 0.0000 0.5000 [1 per cell]
3 Rh 0.0000 0.5000 0.5000 [2 per cell]
4 Se 0.5000 0.5000 0.0000 [1 per cell]

Please write out number 7 again, unchanged.
Here is a geometry-optimized SrLa2Pr structure from the Alexandria database. Energies are from GGA-PBE.

Computed properties:
The calculation puts the offset from the most stable computed form at 0 meV per atom. As for the magnetic moment: 0.0 μB per formula unit. The energy of formation comes out at 0.070 eV per atom.

a = 3.7967 Å, b = 3.7967 Å, c = 11.1461 Å
α = 90.00°, β = 90.00°, γ = 90.00°
Space group P4/mmm (No. 123)
Symmetry-distinct sites (fractional):
1 Sr 0.0000 0.0000 0.0000 [1 per cell]
2 La 0.5000 0.5000 0.2760 [2 per cell]
3 Pr 0.0000 0.0000 0.5000 [1 per cell]

Look up the magnetic moment of the eighth one. 0.0 μB per formula unit

Number 8 is which compound? CdBRh2Se